Crystalline Hf2Ti4In3 at its relaxed geometry, computed with PBE.

abc: 5.648 9.814 7.369
angles: 90.00 112.54 90.00
Last column: magnetic moment on the atom in μB.
Element x y z (fractional)
Ti1 0.799 0.999 0.598  0.00
Ti2 0.701 0.499 0.402  0.00
Ti3 0.731 0.750 0.962  0.32
Ti4 0.201 0.001 0.402  0.00
Ti5 0.269 0.250 0.038  0.32
Ti6 0.769 0.250 0.038  0.32
Ti7 0.299 0.501 0.598  0.00
Ti8 0.231 0.750 0.962  0.32
Hf1 0.601 0.972 0.202  0.06
Hf2 0.399 0.028 0.798  0.06
Hf3 0.101 0.528 0.202  0.06
Hf4 0.899 0.472 0.798  0.06
In1 0.493 0.750 0.486  0.00
In2 0.500 0.500 0.000  0.00
In3 0.507 0.250 0.514  0.00
In4 0.000 0.000 0.000  0.00
In5 0.007 0.250 0.514  0.00
In6 0.993 0.750 0.486  0.00

Output
Energy above the most stable polymorph in this dataset = 273.8 meV/atom
Crystal system = orthorhombic

Crystalline MnSb2TeAu at its relaxed geometry, computed with PBE.

abc: 4.999 4.999 5.116
angles: 90.00 90.00 90.00
Last column: magnetic moment on the atom in μB.
Element x y z (fractional)
Sb1 0.500 0.000 0.000  -0.07
Sb2 0.000 0.500 0.000  -0.07
Au1 0.500 0.500 0.500  -0.05
Te1 0.000 0.000 0.500  0.04
Mn1 0.000 0.000 0.000  2.24

Output
Energy above the most stable polymorph in this dataset = 0.0 meV/atom
Crystal system = tetragonal
E_form (uncorrected) = 0.45 eV per atom

Crystalline Dy3PaH at its relaxed geometry, computed with PBE.

abc: 4.892 4.892 4.892
angles: 90.00 90.00 90.00
Last column: magnetic moment on the atom in μB.
Element x y z (fractional)
Pa1 0.500 0.500 0.500  0.60
Dy1 0.000 0.000 0.500  0.05
Dy2 0.500 0.000 0.000  0.05
Dy3 0.000 0.500 0.000  0.05
H1 0.000 0.000 0.000  0.00

Output
E = -26.6 eV/cell
Crystal system = cubic

Crystalline Pr12Ho6Zr at its relaxed geometry, computed with PBE.

abc: 9.593 9.593 9.593
angles: 110.93 110.93 110.93
Element x y z (fractional)
Pr1 0.847 0.258 0.898
Pr2 0.102 0.153 0.742
Pr3 0.898 0.847 0.258
Pr4 0.375 0.059 0.584
Pr5 0.258 0.898 0.847
Pr6 0.625 0.941 0.416
Pr7 0.059 0.584 0.375
Pr8 0.416 0.625 0.941
Pr9 0.742 0.102 0.153
Pr10 0.153 0.742 0.102
Pr11 0.941 0.416 0.625
Pr12 0.584 0.375 0.059
Ho1 0.463 0.211 0.312
Ho2 0.537 0.789 0.688
Ho3 0.312 0.463 0.211
Ho4 0.688 0.537 0.789
Ho5 0.789 0.688 0.537
Ho6 0.211 0.312 0.463
Zr1 0.000 0.000 0.000

Output
E = -92.6 eV/cell
Crystal system = trigonal

Number 1: D(E_F) 1.378 states/eV per atom. Number 2: D(E_F) 0.960 states/eV per atom. Number 3: D(E_F) 1.443 states/eV per atom. Number 4: D(E_F) 1.305 states/eV per atom.